Run a
## SmY6Tm (PBE-GGA)

Data for an optimized crystal structure of SmY6Tm.

Cell lengths 6.5698, 6.7930, 6.9225 Å; angles 118.93, 102.34, 90.34 degrees
With the nearest neighbours (Å) after each atom.
Fractional coordinates of all 8 atoms:
Sm (0.0000, 0.0000, 0.0000)  2 Tm 3.28, 4 Y 3.42-3.49
Y (0.2341, 0.5777, 0.4854)  6 Y 3.29-3.65, 1 Tm 3.37
Y (0.2524, 0.5508, 0.0027)  5 Y 3.29-3.65, 1 Tm 3.46, 1 Sm 3.49
Y (0.2705, 0.0944, 0.5238)  6 Y 3.29-3.69, 1 Sm 3.42, 1 Tm 3.67
Y (0.7295, 0.9056, 0.4762)  6 Y 3.29-3.69, 1 Sm 3.42, 1 Tm 3.67
Y (0.7476, 0.4492, 0.9973)  5 Y 3.29-3.65, 1 Tm 3.46, 1 Sm 3.49
Y (0.7659, 0.4223, 0.5146)  6 Y 3.29-3.65, 1 Tm 3.37
Tm (0.5000, 0.0000, 0.0000)  2 Sm 3.28, 6 Y 3.37-3.67

Values from the calculation:
Symmetry ... No. 2
Size of the total moment ... 0.000 μB per formula unit

Run b
## SmY6Tm (PBE-GGA)

Data for an optimized crystal structure of SmY6Tm.

Cell lengths 5.0441, 6.1762, 9.4387 Å; angles 77.57, 74.53, 65.97 degrees
With the nearest neighbours (Å) after each atom.
Fractional coordinates of all 8 atoms:
Sm (0.0000, 0.0000, 0.0000)  12 Y 3.57-3.58
Y (0.2495, 0.3746, 0.1265)  1 Tm 3.55, 8 Y 3.56-3.59, 3 Sm 3.57-3.58
Y (0.2506, 0.8751, 0.6235)  8 Y 3.54-3.57, 3 Tm 3.56-3.57, 1 Sm 3.58
Y (0.5000, 0.2512, 0.7488)  8 Y 3.54-3.59, 2 Tm 3.56, 2 Sm 3.58
Y (0.5000, 0.7488, 0.2512)  8 Y 3.54-3.59, 2 Tm 3.56, 2 Sm 3.58
Y (0.7494, 0.1249, 0.3765)  8 Y 3.54-3.57, 3 Tm 3.56-3.57, 1 Sm 3.58
Y (0.7505, 0.6254, 0.8735)  1 Tm 3.55, 8 Y 3.56-3.59, 3 Sm 3.57-3.58
Tm (0.0000, 0.5000, 0.5000)  12 Y 3.55-3.57

Values from the calculation:
Symmetry ... No. 2
Size of the total moment ... 0.000 μB per formula unit

Name the most stable of them. run b.

Run a
## Sm4Y6Tm (PBE-GGA)

Data for an optimized crystal structure of Sm4Y6Tm.

Cell lengths 5.6401, 5.6401, 25.8554 Å; angles 90.00, 90.00, 118.72 degrees
With the nearest neighbours (Å) after each atom.
Fractional coordinates of all 22 atoms:
Sm (0.0280, 0.9720, 0.6218)  6 Y 3.16-3.53
Sm (0.0280, 0.9720, 0.8782)  6 Y 3.16-3.53
Sm (0.3426, 0.6574, 0.5441)  7 Y 3.45-3.73, 2 Sm 3.65-3.81
Sm (0.3426, 0.6574, 0.9559)  7 Y 3.45-3.73, 2 Sm 3.65-3.81
Sm (0.6574, 0.3426, 0.0441)  7 Y 3.45-3.73, 2 Sm 3.65-3.81
Sm (0.6574, 0.3426, 0.4559)  7 Y 3.45-3.73, 2 Sm 3.65-3.81
Sm (0.9720, 0.0280, 0.1218)  6 Y 3.16-3.53
Sm (0.9720, 0.0280, 0.3782)  6 Y 3.16-3.53
Y (0.0000, 0.0000, 0.0000)  8 Sm 3.16-3.51
Y (0.0000, 0.0000, 0.5000)  8 Sm 3.16-3.51
Y (0.0170, 0.9830, 0.7500)  3 Tm 3.24-3.30, 2 Sm 3.32
Y (0.3113, 0.6887, 0.1065)  5 Sm 3.29-3.62
Y (0.3113, 0.6887, 0.3935)  5 Sm 3.29-3.62
Y (0.3537, 0.6463, 0.6827)  7 Y 3.48-3.84, 4 Sm 3.53-3.69, 3 Tm 3.64-3.75
Y (0.3537, 0.6463, 0.8173)  7 Y 3.48-3.84, 4 Sm 3.53-3.69, 3 Tm 3.64-3.75
Y (0.6463, 0.3537, 0.1827)  7 Y 3.48-3.84, 4 Sm 3.53-3.69, 3 Tm 3.64-3.75
Y (0.6463, 0.3537, 0.3173)  7 Y 3.48-3.84, 4 Sm 3.53-3.69, 3 Tm 3.64-3.75
Y (0.6887, 0.3113, 0.6065)  5 Sm 3.29-3.62
Y (0.6887, 0.3113, 0.8935)  5 Sm 3.29-3.62
Y (0.9830, 0.0170, 0.2500)  3 Tm 3.24-3.30, 2 Sm 3.32
Tm (0.3170, 0.6830, 0.2500)  3 Y 3.24-3.30
Tm (0.6830, 0.3170, 0.7500)  3 Y 3.24-3.30

Values from the calculation:
Symmetry ... No. 63
Size of the total moment ... 0.000 μB per formula unit

Run b
## Sm4Y6Tm (PBE-GGA)

Data for an optimized crystal structure of Sm4Y6Tm.

Cell lengths 8.5422, 8.5422, 8.5422 Å; angles 127.10, 127.10, 78.09 degrees
With the nearest neighbours (Å) after each atom.
Fractional coordinates of all 11 atoms:
Sm (0.2512, 0.2512, 0.6547)  3 Y 2.99-3.24, 2 Sm 3.31
Sm (0.4035, 0.7488, 0.0000)  3 Y 2.99-3.24, 2 Sm 3.31
Sm (0.5965, 0.5965, 0.3453)  3 Y 2.99-3.24, 2 Sm 3.31
Sm (0.7488, 0.4035, 0.0000)  3 Y 2.99-3.24, 2 Sm 3.31
Y (0.0000, 0.5000, 0.5000)  4 Sm 2.99
Y (0.0503, 0.5795, 0.0000)  2 Sm 3.24-3.61, 1 Tm 3.53
Y (0.4205, 0.4205, 0.4708)  2 Sm 3.24-3.61, 1 Tm 3.53
Y (0.5000, 0.0000, 0.5000)  4 Sm 2.99
Y (0.5795, 0.0503, 0.0000)  2 Sm 3.24-3.61, 1 Tm 3.53
Y (0.9497, 0.9497, 0.5292)  2 Sm 3.24-3.61, 1 Tm 3.53
Tm (0.0000, 0.0000, 0.0000)  8 Y 3.53-3.80, 4 Sm 3.67

Values from the calculation:
Symmetry ... No. 121
Size of the total moment ... 0.000 μB per formula unit

Name the most stable of them. run a.

Run a
## SmY7Tm3 (PBE-GGA)

Data for an optimized crystal structure of SmY7Tm3.

Cell lengths 6.9104, 5.5430, 9.9286 Å; angles 90.00, 109.30, 90.00 degrees
With the nearest neighbours (Å) after each atom.
Fractional coordinates of all 11 atoms:
Sm (0.0000, 0.0000, 0.0000)  2 Tm 3.46, 10 Y 3.54-3.81
Y (0.0000, 0.0000, 0.5000)  4 Tm 3.37, 2 Y 3.77
Y (0.1472, 0.5000, 0.7889)  3 Y 3.29-3.55, 2 Tm 3.31-3.33
Y (0.3234, 0.5000, 0.1401)  5 Y 3.29-3.55, 3 Tm 3.50-3.66, 2 Sm 3.54
Y (0.4248, 0.0000, 0.3318)  3 Y 3.15-3.30, 1 Tm 3.50
Y (0.5752, 0.0000, 0.6682)  3 Y 3.15-3.30, 1 Tm 3.50
Y (0.6766, 0.5000, 0.8599)  5 Y 3.29-3.55, 3 Tm 3.50-3.66, 2 Sm 3.54
Y (0.8528, 0.5000, 0.2111)  3 Y 3.29-3.55, 2 Tm 3.31-3.33
Tm (0.2760, 0.5000, 0.4962)  1 Tm 3.07, 4 Y 3.31-3.37
Tm (0.5000, 0.0000, 0.0000)  2 Sm 3.46, 10 Y 3.50-3.83
Tm (0.7240, 0.5000, 0.5038)  1 Tm 3.07, 4 Y 3.31-3.37

Values from the calculation:
Symmetry ... No. 10
Size of the total moment ... 0.000 μB per formula unit

Run b
## SmY7Tm3 (PBE-GGA)

Data for an optimized crystal structure of SmY7Tm3.

Cell lengths 7.0762, 7.0762, 8.5685 Å; angles 90.00, 90.00, 120.00 degrees
With the nearest neighbours (Å) after each atom.
Fractional coordinates of all 11 atoms:
Sm (0.0000, 0.0000, 0.0000)  9 Y 3.50-3.54, 3 Tm 3.53
Y (0.0024, 0.5012, 0.0036)  2 Tm 3.50, 7 Y 3.51-3.56, 2 Sm 3.54
Y (0.3304, 0.1652, 0.6667)  2 Tm 3.49, 1 Sm 3.50, 8 Y 3.51-3.57
Y (0.3333, 0.6667, 0.6694)  9 Y 3.51-3.54, 3 Tm 3.51
Y (0.4988, 0.5012, 0.0036)  2 Tm 3.50, 7 Y 3.51-3.56, 2 Sm 3.54
Y (0.4988, 0.9976, 0.0036)  2 Tm 3.50, 7 Y 3.51-3.56, 2 Sm 3.54
Y (0.8348, 0.1652, 0.6667)  2 Tm 3.49, 1 Sm 3.50, 8 Y 3.51-3.57
Y (0.8348, 0.6696, 0.6667)  2 Tm 3.49, 1 Sm 3.50, 8 Y 3.51-3.57
Tm (0.1668, 0.3336, 0.3355)  5 Y 3.49-3.51, 1 Sm 3.53, 4 Tm 3.54
Tm (0.1668, 0.8332, 0.3355)  5 Y 3.49-3.51, 1 Sm 3.53, 4 Tm 3.54
Tm (0.6664, 0.8332, 0.3355)  5 Y 3.49-3.51, 1 Sm 3.53, 4 Tm 3.54

Values from the calculation:
Symmetry ... No. 156
Size of the total moment ... 0.000 μB per formula unit

Name the most stable of them. run a.

Run a
## SmY6Tm4 (PBE-GGA)

Data for an optimized crystal structure of SmY6Tm4.

Cell lengths 10.8783, 10.8783, 3.5370 Å; angles 90.00, 90.00, 120.00 degrees
With the nearest neighbours (Å) after each atom.
Fractional coordinates of all 11 atoms:
Sm (0.0000, 0.0000, 0.0000)  6 Tm 3.51, 2 Sm 3.54, 6 Y 3.89
Y (0.0400, 0.5200, 0.0000)  5 Tm 3.51-3.52, 6 Y 3.54-3.68
Y (0.3673, 0.1836, 0.5000)  4 Tm 3.27-3.33, 2 Y 3.54
Y (0.4800, 0.5200, 0.0000)  5 Tm 3.51-3.52, 6 Y 3.54-3.68
Y (0.4800, 0.9600, 0.0000)  5 Tm 3.51-3.52, 6 Y 3.54-3.68
Y (0.8164, 0.1836, 0.5000)  4 Tm 3.27-3.33, 2 Y 3.54
Y (0.8164, 0.6327, 0.5000)  4 Tm 3.27-3.33, 2 Y 3.54
Tm (0.1612, 0.3224, 0.5000)  6 Y 3.27-3.51, 2 Sm 3.51, 2 Tm 3.54
Tm (0.1612, 0.8388, 0.5000)  6 Y 3.27-3.51, 2 Sm 3.51, 2 Tm 3.54
Tm (0.6667, 0.3333, 0.0000)  9 Y 3.33-3.52, 2 Tm 3.54
Tm (0.6776, 0.8388, 0.5000)  6 Y 3.27-3.51, 2 Sm 3.51, 2 Tm 3.54

Values from the calculation:
Symmetry ... No. 187
Size of the total moment ... 0.000 μB per formula unit

Run b
## SmY6Tm4 (PBE-GGA)

Data for an optimized crystal structure of SmY6Tm4.

Cell lengths 5.6119, 5.6119, 25.6890 Å; angles 90.00, 90.00, 119.73 degrees
With the nearest neighbours (Å) after each atom.
Fractional coordinates of all 22 atoms:
Sm (0.1700, 0.8300, 0.7500)  3 Y 3.24-3.25
Sm (0.8300, 0.1700, 0.2500)  3 Y 3.24-3.25
Y (0.1623, 0.8377, 0.1805)  4 Tm 3.56-3.59, 7 Y 3.57-3.83, 3 Sm 3.69-3.71
Y (0.1623, 0.8377, 0.3195)  4 Tm 3.56-3.59, 7 Y 3.57-3.83, 3 Sm 3.69-3.71
Y (0.1711, 0.8289, 0.6015)  6 Tm 3.28-3.61
Y (0.1711, 0.8289, 0.8985)  6 Tm 3.28-3.61
Y (0.4965, 0.5035, 0.2500)  3 Sm 3.24-3.25, 2 Tm 3.31
Y (0.5000, 0.5000, 0.0000)  8 Tm 3.11-3.42
Y (0.5000, 0.5000, 0.5000)  8 Tm 3.11-3.42
Y (0.5035, 0.4965, 0.7500)  3 Sm 3.24-3.25, 2 Tm 3.31
Y (0.8289, 0.1711, 0.1015)  6 Tm 3.28-3.61
Y (0.8289, 0.1711, 0.3985)  6 Tm 3.28-3.61
Y (0.8377, 0.1623, 0.6805)  4 Tm 3.56-3.59, 7 Y 3.57-3.83, 3 Sm 3.69-3.71
Y (0.8377, 0.1623, 0.8195)  4 Tm 3.56-3.59, 7 Y 3.57-3.83, 3 Sm 3.69-3.71
Tm (0.1650, 0.8350, 0.0417)  8 Y 3.41-3.68, 1 Tm 3.79
Tm (0.1650, 0.8350, 0.4583)  8 Y 3.41-3.68, 1 Tm 3.79
Tm (0.4945, 0.5055, 0.1211)  5 Y 3.11-3.31
Tm (0.4945, 0.5055, 0.3789)  5 Y 3.11-3.31
Tm (0.5055, 0.4945, 0.6211)  5 Y 3.11-3.31
Tm (0.5055, 0.4945, 0.8789)  5 Y 3.11-3.31
Tm (0.8350, 0.1650, 0.5417)  8 Y 3.41-3.68, 1 Tm 3.79
Tm (0.8350, 0.1650, 0.9583)  8 Y 3.41-3.68, 1 Tm 3.79

Values from the calculation:
Symmetry ... No. 63
Size of the total moment ... 0.000 μB per formula unit

Name the most stable of them. run b.

Run a
## Sm3Y6Tm (PBE-GGA)

Data for an optimized crystal structure of Sm3Y6Tm.

Cell lengths 10.9435, 10.9435, 6.3537 Å; angles 90.00, 90.00, 119.85 degrees
With the nearest neighbours (Å) after each atom.
Fractional coordinates of all 20 atoms:
Sm (0.1116, 0.8884, 0.5000)  7 Y 3.42-3.76, 1 Tm 3.59, 2 Sm 3.66
Sm (0.2149, 0.4394, 0.1120)  1 Tm 3.24, 6 Y 3.31-3.57
Sm (0.4394, 0.2149, 0.6120)  1 Tm 3.24, 6 Y 3.31-3.57
Sm (0.5606, 0.7851, 0.1120)  1 Tm 3.24, 6 Y 3.31-3.57
Sm (0.7851, 0.5606, 0.6120)  1 Tm 3.24, 6 Y 3.31-3.57
Sm (0.8884, 0.1116, 0.0000)  7 Y 3.42-3.76, 1 Tm 3.59, 2 Sm 3.66
Y (0.0322, 0.4495, 0.7043)  5 Y 3.23-3.55, 2 Sm 3.31-3.52, 2 Tm 3.34-3.46
Y (0.1204, 0.2107, 0.5222)  4 Sm 3.40-3.76, 4 Y 3.41-3.63
Y (0.2107, 0.1204, 0.0222)  4 Sm 3.40-3.76, 4 Y 3.41-3.63
Y (0.2258, 0.7742, 0.9162)  4 Y 3.23-3.38, 2 Tm 3.39-3.55, 1 Sm 3.42
Y (0.4495, 0.0322, 0.2043)  5 Y 3.23-3.55, 2 Sm 3.31-3.52, 2 Tm 3.34-3.46
Y (0.4561, 0.5439, 0.6823)  1 Tm 3.37, 4 Sm 3.54-3.57, 2 Y 3.59
Y (0.5439, 0.4561, 0.1823)  1 Tm 3.37, 4 Sm 3.54-3.57, 2 Y 3.59
Y (0.5505, 0.9678, 0.7043)  5 Y 3.23-3.55, 2 Sm 3.31-3.52, 2 Tm 3.34-3.46
Y (0.7742, 0.2258, 0.4162)  4 Y 3.23-3.38, 2 Tm 3.39-3.55, 1 Sm 3.42
Y (0.7893, 0.8796, 0.5222)  4 Sm 3.40-3.76, 4 Y 3.41-3.63
Y (0.8796, 0.7893, 0.0222)  4 Sm 3.40-3.76, 4 Y 3.41-3.63
Y (0.9678, 0.5505, 0.2043)  5 Y 3.23-3.55, 2 Sm 3.31-3.52, 2 Tm 3.34-3.46
Tm (0.2996, 0.7004, 0.4301)  3 Sm 3.24-3.59, 7 Y 3.34-3.55
Tm (0.7004, 0.2996, 0.9301)  3 Sm 3.24-3.59, 7 Y 3.34-3.55

Values from the calculation:
Symmetry ... No. 36
Size of the total moment ... 0.000 μB per formula unit

Run b
## Sm3Y6Tm (PBE-GGA)

Data for an optimized crystal structure of Sm3Y6Tm.

Cell lengths 6.9177, 6.9177, 6.9177 Å; angles 91.39, 91.39, 91.39 degrees
With the nearest neighbours (Å) after each atom.
Fractional coordinates of all 10 atoms:
Sm (0.0000, 0.0000, 0.0000)  1 Sm 2.91, 1 Tm 2.93
Sm (0.2491, 0.2491, 0.2491)  2 Sm 2.91-2.92
Sm (0.4990, 0.4990, 0.4990)  1 Sm 2.92, 1 Tm 2.92, 3 Y 3.26
Y (0.1691, 0.8283, 0.5038)  2 Sm 3.26-3.48, 1 Tm 3.44
Y (0.3308, 0.6716, 0.9967)  2 Sm 3.26-3.48, 1 Tm 3.44
Y (0.5038, 0.1691, 0.8283)  2 Sm 3.26-3.48, 1 Tm 3.44
Y (0.6716, 0.9967, 0.3308)  2 Sm 3.26-3.48, 1 Tm 3.44
Y (0.8283, 0.5038, 0.1691)  2 Sm 3.26-3.48, 1 Tm 3.44
Y (0.9967, 0.3308, 0.6716)  2 Sm 3.26-3.48, 1 Tm 3.44
Tm (0.7493, 0.7493, 0.7493)  2 Sm 2.92-2.93

Values from the calculation:
Symmetry ... No. 146
Size of the total moment ... 0.000 μB per formula unit

Name the most stable of them. run a.

Run a
## Sm4Y3Tm2 (PBE-GGA)

Data for an optimized crystal structure of Sm4Y3Tm2.

Cell lengths 10.2048, 10.2048, 6.0046 Å; angles 95.79, 95.79, 69.72 degrees
With the nearest neighbours (Å) after each atom.
Fractional coordinates of all 18 atoms:
Sm (0.0480, 0.8243, 0.9527)  3 Sm 3.38-3.48, 4 Y 3.40-3.53, 1 Tm 3.63
Sm (0.1631, 0.3837, 0.1140)  2 Tm 3.28-3.41, 4 Y 3.40-3.51, 2 Sm 3.48-3.58
Sm (0.1757, 0.9520, 0.5473)  3 Sm 3.38-3.48, 4 Y 3.40-3.53, 1 Tm 3.63
Sm (0.3837, 0.1631, 0.6140)  2 Tm 3.28-3.41, 4 Y 3.40-3.51, 2 Sm 3.48-3.58
Sm (0.6163, 0.8369, 0.3860)  2 Tm 3.28-3.41, 4 Y 3.40-3.51, 2 Sm 3.48-3.58
Sm (0.8243, 0.0480, 0.4527)  3 Sm 3.38-3.48, 4 Y 3.40-3.53, 1 Tm 3.63
Sm (0.8369, 0.6163, 0.8860)  2 Tm 3.28-3.41, 4 Y 3.40-3.51, 2 Sm 3.48-3.58
Sm (0.9520, 0.1757, 0.0473)  3 Sm 3.38-3.48, 4 Y 3.40-3.53, 1 Tm 3.63
Y (0.0175, 0.3203, 0.5805)  7 Sm 3.40-3.53, 1 Tm 3.42, 1 Y 3.78
Y (0.3203, 0.0175, 0.0805)  7 Sm 3.40-3.53, 1 Tm 3.42, 1 Y 3.78
Y (0.3497, 0.6503, 0.2500)  2 Sm 3.40, 6 Tm 3.43-3.54
Y (0.6503, 0.3497, 0.7500)  2 Sm 3.40, 6 Tm 3.43-3.54
Y (0.6797, 0.9825, 0.9195)  7 Sm 3.40-3.53, 1 Tm 3.42, 1 Y 3.78
Y (0.9825, 0.6797, 0.4195)  7 Sm 3.40-3.53, 1 Tm 3.42, 1 Y 3.78
Tm (0.2912, 0.5043, 0.7047)  3 Sm 3.28-3.63, 1 Tm 3.40, 4 Y 3.42-3.54
Tm (0.4957, 0.7088, 0.7953)  3 Sm 3.28-3.63, 1 Tm 3.40, 4 Y 3.42-3.54
Tm (0.5043, 0.2912, 0.2047)  3 Sm 3.28-3.63, 1 Tm 3.40, 4 Y 3.42-3.54
Tm (0.7088, 0.4957, 0.2953)  3 Sm 3.28-3.63, 1 Tm 3.40, 4 Y 3.42-3.54

Values from the calculation:
Symmetry ... No. 15
Size of the total moment ... 0.000 μB per formula unit

Run b
## Sm4Y3Tm2 (PBE-GGA)

Data for an optimized crystal structure of Sm4Y3Tm2.

Cell lengths 8.0041, 8.0041, 8.0061 Å; angles 107.42, 107.42, 36.81 degrees
With the nearest neighbours (Å) after each atom.
Fractional coordinates of all 9 atoms:
Sm (0.0552, 0.0552, 0.3311)  6 Y 3.57-3.60, 2 Tm 3.58, 4 Sm 3.58-3.60
Sm (0.2776, 0.2776, 0.6685)  3 Tm 3.55-3.57, 4 Y 3.57-3.60, 5 Sm 3.58-3.60
Sm (0.7224, 0.7224, 0.3315)  3 Tm 3.55-3.57, 4 Y 3.57-3.60, 5 Sm 3.58-3.60
Sm (0.9448, 0.9448, 0.6689)  6 Y 3.57-3.60, 2 Tm 3.58, 4 Sm 3.58-3.60
Y (0.3882, 0.3882, 0.3315)  3 Tm 3.56-3.57, 7 Sm 3.57-3.60, 2 Y 3.57-3.61
Y (0.5000, 0.5000, 0.0000)  6 Sm 3.57-3.58, 2 Y 3.57, 4 Tm 3.59
Y (0.6118, 0.6118, 0.6685)  3 Tm 3.56-3.57, 7 Sm 3.57-3.60, 2 Y 3.57-3.61
Tm (0.1676, 0.1676, 0.0000)  5 Sm 3.55-3.58, 2 Tm 3.56, 5 Y 3.56-3.59
Tm (0.8324, 0.8324, 0.0000)  5 Sm 3.55-3.58, 2 Tm 3.56, 5 Y 3.56-3.59

Values from the calculation:
Symmetry ... No. 12
Size of the total moment ... 0.000 μB per formula unit

Name the most stable of them. run b.